ZrBeAu4 SCAN PBEsol geometry; magnetic moment = 0.00 μB/atom; E = -51.93 eV per atom; calculated formation energy = 0.1 eV per formula unit; theoretical density = 13.740 g/cm3
1.0
5.334 0.000 0.000
2.667 4.620 0.000
2.667 1.540 4.355
Au Be Zr
4 1 1
Direct
0.375 0.375 0.375
0.375 0.375 0.874
0.874 0.375 0.375
0.375 0.874 0.375
0.750 0.750 0.750
0.000 0.000 0.000

***

BiAuBr2 SCAN PBEsol geometry; formation energy (no corrections) = -0.0053 eV per atom; magnetic moment = 0.00 μB/atom; E = -46.67 eV per atom; theoretical density = 8.779 g/cm3
1.0
-2.096 -2.752 0.887
1.167 -3.346 -0.437
3.351 -1.929 9.123
Au Bi Br
1 1 2
Direct
0.000 0.000 0.000
0.500 0.500 0.500
0.916 0.916 0.251
0.084 0.084 0.749

***

K2BiAuBr6 SCAN PBEsol geometry; formation energy (no corrections) = -0.9919 eV per atom; magnetic moment = 0.00 μB/atom; E = -29.11 eV per atom; theoretical density = 4.674 g/cm3
1.0
-7.456 -2.382 0.620
-1.698 -6.623 3.862
-3.663 0.329 6.938
K Bi Au Br
2 1 1 6
Direct
0.750 0.750 0.750
0.250 0.250 0.250
0.000 0.000 0.000
0.500 0.500 0.500
0.745 0.255 0.255
0.745 0.745 0.255
0.255 0.745 0.745
0.745 0.255 0.745
0.255 0.745 0.255
0.255 0.255 0.745

***

Rb2BiAuBr6 SCAN PBEsol geometry; formation energy (no corrections) = -1.0431 eV per atom; magnetic moment = 0.00 μB/atom; E = -31.64 eV per atom; theoretical density = 5.087 g/cm3
1.0
7.871 0.000 0.000
3.935 6.816 0.000
3.935 2.272 6.426
Rb Bi Au Br
2 1 1 6
Direct
0.750 0.750 0.750
0.250 0.250 0.250
0.000 0.000 0.000
0.500 0.500 0.500
0.745 0.255 0.255
0.745 0.745 0.255
0.255 0.745 0.745
0.745 0.255 0.745
0.255 0.745 0.255
0.255 0.255 0.745

***

ReBi2AuBr SCAN PBEsol geometry; formation energy (no corrections) = 0.5759 eV per atom; magnetic moment = 0.00 μB/atom; E = -62.80 eV per atom; theoretical density = 10.590 g/cm3
1.0
5.059 0.000 0.000
0.000 5.226 0.000
0.000 0.000 5.226
Re Au Bi Br
1 1 2 1
Direct
0.000 0.000 0.000
0.500 0.000 0.000
0.000 0.000 0.500
0.000 0.500 0.000
0.500 0.500 0.500

***

SnBiAu2C SCAN PBEsol geometry; magnetic moment = 0.45 μB/atom; E = -50.73 eV per atom; calculated formation energy = 9.3 eV per formula unit; theoretical density = 8.235 g/cm3
1.0
-3.515 2.270 -2.788
-3.542 -1.521 3.227
0.714 4.912 3.099
C Au Bi Sn
1 2 1 1
Direct
0.500 0.500 0.500
0.000 0.500 0.000
0.500 0.000 0.000
0.000 0.000 0.500
0.000 0.000 0.000